Entry from the Alexandria database: crystalline Ho5Er3Sc4 at its relaxed geometry (PBE). Values from VASP.

Calculated values
crystal system	monoclinic

Quantum ESPRESSO input file:
```
&SYSTEM
  ibrav = 0, nat = 12, ntyp = 3
/
ATOMIC_SPECIES
Er 167.26 Er.upf
Ho 164.93 Ho.upf
Sc 44.96 Sc.upf
ATOMIC_POSITIONS crystal
Er 0.7164 0.4583 0.1088
Er 0.2836 0.5417 0.8912
Er 0.0000 0.5000 0.5000
Ho 0.3394 0.9450 0.3762
Ho 0.5000 0.5000 0.5000
Ho 0.8794 0.0456 0.1956
Ho 0.6606 0.0550 0.6238
Ho 0.1206 0.9544 0.8044
Sc 0.6393 0.7819 0.9395
Sc 0.3607 0.2181 0.0605
Sc 0.0229 0.6838 0.2704
Sc 0.9771 0.3162 0.7296
CELL_PARAMETERS angstrom
-1.8351 1.7561 -5.0632
3.8207 -4.1391 -5.9890
-9.0338 -2.2723 -0.6826
```

Entry from the Alexandria database: crystalline Ho2Er3Sc4 at its relaxed geometry (PBE). Values from VASP.

Calculated values
crystal system	monoclinic

Quantum ESPRESSO input file:
```
&SYSTEM
  ibrav = 0, nat = 18, ntyp = 3
/
ATOMIC_SPECIES
Ho 164.93 Ho.upf
Sc 44.96 Sc.upf
Er 167.26 Er.upf
ATOMIC_POSITIONS crystal
Ho 0.0610 0.4856 0.7704
Ho 0.5610 0.7704 0.4856
Ho 0.9390 0.5144 0.2296
Ho 0.4390 0.2296 0.5144
Sc 0.4049 0.5770 0.8631
Sc 0.9049 0.8631 0.5770
Sc 0.5636 0.0983 0.8186
Sc 0.5951 0.4230 0.1369
Sc 0.4364 0.9017 0.1814
Sc 0.0636 0.8186 0.0983
Sc 0.9364 0.1814 0.9017
Sc 0.0951 0.1369 0.4230
Er 0.7500 0.3991 0.6009
Er 0.2095 0.9320 0.7430
Er 0.2500 0.6009 0.3991
Er 0.7905 0.0680 0.2570
Er 0.7095 0.7430 0.9320
Er 0.2905 0.2570 0.0680
CELL_PARAMETERS angstrom
5.5225 1.5164 1.0857
2.2687 10.5403 0.7833
2.2687 4.1377 9.7258
```

Entry from the Alexandria database: crystalline HoEr3Sc6 at its relaxed geometry (PBE). Values from VASP.

Calculated values
crystal system	trigonal

Quantum ESPRESSO input file:
```
&SYSTEM
  ibrav = 0, nat = 10, ntyp = 3
/
ATOMIC_SPECIES
Sc 44.96 Sc.upf
Ho 164.93 Ho.upf
Er 167.26 Er.upf
ATOMIC_POSITIONS crystal
Sc 0.2390 0.9096 0.2824
Sc 0.0702 0.4102 0.7807
Sc 0.4102 0.7389 0.7807
Sc 0.9096 0.5690 0.2824
Sc 0.5690 0.2390 0.2824
Sc 0.7389 0.0702 0.7807
Ho 0.8928 0.8928 0.3214
Er 0.1391 0.1391 0.5826
Er 0.6387 0.6387 0.0838
Er 0.3924 0.3924 0.8229
CELL_PARAMETERS angstrom
-6.7266 0.1512 6.2785
1.8633 2.4149 8.6825
-2.3335 4.4615 4.1369
```

The following calculated formation energy values (in eV per atom) correspond, in order, to the records above: 0.243 0.113 0.401.